1.
An optimized crystal structure of LiNbAu, computed with PBE.

Cell lengths 2.794, 5.237, 7.387 Å; angles 76.87, 88.61, 75.28 degrees
Sites, in units of the cell vectors:
Li 0.144 0.143 0.128
Li 0.856 0.857 0.872
Nb 0.192 0.228 0.521
Nb 0.808 0.772 0.479
Au 0.465 0.582 0.184
Au 0.535 0.418 0.816

The density of states at the Fermi level is 2.75 states/eV per cell. Its formation energy from the elements is -0.155 eV per atom. The value obtained for the spin magnetization is 0.000 μB per atom.

=====

2.
An optimized crystal structure of LiNbAu, computed with PBE.

Cell lengths 7.419, 7.419, 4.304 Å; angles 90.24, 90.24, 25.05 degrees
Sites, in units of the cell vectors:
Li 0.174 0.174 0.003
Li 0.826 0.826 0.997
Nb 0.000 0.000 0.500
Nb 0.500 0.500 0.000
Au 0.335 0.335 0.497
Au 0.665 0.665 0.503

The density of states at the Fermi level is 3.19 states/eV per cell. Its formation energy from the elements is -0.168 eV per atom. The value obtained for the spin magnetization is 0.000 μB per atom.

=====

3.
An optimized crystal structure of LiNbAu, computed with PBE.

Cell lengths 4.317, 3.199, 7.437 Å; angles 90.00, 105.37, 90.00 degrees
Sites, in units of the cell vectors:
Li 0.168 0.000 0.355
Li 0.832 0.000 0.645
Nb 0.000 0.500 0.000
Nb 0.500 0.000 0.000
Au 0.344 0.500 0.666
Au 0.656 0.500 0.334

The density of states at the Fermi level is 3.03 states/eV per cell. Its formation energy from the elements is -0.173 eV per atom. The value obtained for the spin magnetization is 0.000 μB per atom.

=====

4.
An optimized crystal structure of Li2NbAu2, computed with PBE.

Cell lengths 7.482, 7.482, 2.766 Å; angles 90.00, 90.00, 90.00 degrees
Sites, in units of the cell vectors:
Li 0.112 0.388 0.000
Li 0.388 0.888 0.000
Li 0.612 0.112 0.000
Li 0.888 0.612 0.000
Nb 0.000 0.000 0.000
Nb 0.500 0.500 0.000
Au 0.187 0.687 0.500
Au 0.313 0.187 0.500
Au 0.687 0.813 0.500
Au 0.813 0.313 0.500

The density of states at the Fermi level is 5.21 states/eV per cell. Its formation energy from the elements is -0.244 eV per atom. The value obtained for the spin magnetization is 0.000 μB per atom.

=====

5.
An optimized crystal structure of LiNbAu, computed with PBE.

Cell lengths 2.874, 3.767, 9.282 Å; angles 90.00, 90.00, 90.00 degrees
Sites, in units of the cell vectors:
Li 0.250 0.250 0.077
Li 0.750 0.750 0.923
Nb 0.250 0.250 0.409
Nb 0.750 0.750 0.591
Au 0.250 0.250 0.774
Au 0.750 0.750 0.226

The density of states at the Fermi level is 1.77 states/eV per cell. Its formation energy from the elements is -0.199 eV per atom. The value obtained for the spin magnetization is 0.000 μB per atom.

=====

6.
An optimized crystal structure of LiNbAu, computed with PBE.

Cell lengths 4.280, 3.249, 7.533 Å; angles 90.00, 105.69, 90.00 degrees
Sites, in units of the cell vectors:
Li 0.084 0.250 0.155
Li 0.916 0.750 0.845
Nb 0.257 0.750 0.515
Nb 0.743 0.250 0.485
Au 0.411 0.250 0.833
Au 0.589 0.750 0.167

The density of states at the Fermi level is 2.03 states/eV per cell. Its formation energy from the elements is -0.184 eV per atom. The value obtained for the spin magnetization is 0.000 μB per atom.